1.
# KCd2C2O6

An optimized crystal structure of KCd2C2O6 (GGA-PBE, the Alexandria database).

Results
Space group ... P-1
Formation energy without anion corrections ... -1311 meV/atom
Raw total energy ... -5.9583 eV per atom

Cell: 5.3268 7.1921 5.5965 Å, 102.58 74.20 65.77°
Last column: nearest neighbours and their distance in Å.
Sites, in units of the cell vectors:
K (0.5000, 0.0000, 0.5000)  6 O 2.72-2.80
Cd (0.7150, 0.5359, 0.8252)  5 O 2.32-2.51
Cd (0.2850, 0.4641, 0.1748)  5 O 2.32-2.51
C (0.0897, 0.7292, 0.7775)  3 O 1.28-1.32
C (0.9103, 0.2708, 0.2225)  3 O 1.28-1.32
O (0.3239, 0.7504, 0.7228)  1 C 1.28
O (0.0316, 0.2937, 0.0009)  1 C 1.31
O (0.9631, 0.7213, 0.6067)  1 C 1.32
O (0.9684, 0.7063, 0.9991)  1 C 1.31
O (0.0369, 0.2787, 0.3933)  1 C 1.32
O (0.6761, 0.2496, 0.2772)  1 C 1.28


2.
# KCdPC2

An optimized crystal structure of KCdPC2 (GGA-PBE, the Alexandria database).

Results
Space group ... P4/mmm
Raw total energy ... -3.3236 eV per atom

Cell: 3.9283 3.9283 5.9827 Å, 90.00 90.00 90.00°
Last column: nearest neighbours and their distance in Å.
Sites, in units of the cell vectors:
P (0.0000, 0.0000, 0.0000)  4 C 1.96
K (0.0000, 0.0000, 0.5000)  4 Cd 2.78, 2 P 2.99
C (0.0000, 0.5000, 0.0000)  2 P 1.96
C (0.5000, 0.0000, 0.0000)  2 P 1.96
Cd (0.5000, 0.5000, 0.5000)  4 K 2.78


3.
# KCd2SiC

An optimized crystal structure of KCd2SiC (GGA-PBE, the Alexandria database).

Results
Space group ... P4/mmm
Energy relative to the lowest polymorph listed for this composition ... 3.65 eV/f.u.
Formation energy without anion corrections ... 2116 meV/atom
Raw total energy ... -1.3990 eV per atom

Cell: 6.3142 5.1250 6.3142 Å, 90.00 90.00 90.00°
Last column: nearest neighbours and their distance in Å.
Sites, in units of the cell vectors:
C (0.0000, 0.5000, 0.0000)  2 K 2.56
K (0.0000, 0.0000, 0.0000)  2 C 2.56
Si (0.5000, 0.5000, 0.5000)  8 Cd 4.07, 4 C 4.46
Cd (0.0000, 0.0000, 0.5000)  2 K 3.16
Cd (0.5000, 0.0000, 0.0000)  2 K 3.16


4.
# KCd2SiC

An optimized crystal structure of KCd2SiC (GGA-PBE, the Alexandria database).

Results
Space group ... P4/mmm
Energy relative to the lowest polymorph listed for this composition ... 0.00 eV/f.u.
Formation energy without anion corrections ... 1385 meV/atom
Raw total energy ... -2.1297 eV per atom

Cell: 4.9800 6.7626 4.9800 Å, 90.00 90.00 90.00°
Last column: nearest neighbours and their distance in Å.
Sites, in units of the cell vectors:
C (0.5000, 0.5000, 0.5000)  4 K 3.52
K (0.0000, 0.5000, 0.0000)  2 Si 3.38, 4 C 3.52
Si (0.0000, 0.0000, 0.0000)  4 Cd 2.49
Cd (0.0000, 0.0000, 0.5000)  2 Si 2.49
Cd (0.5000, 0.0000, 0.0000)  2 Si 2.49


5.
# La12Cd3C5

An optimized crystal structure of La12Cd3C5 (GGA-PBE, the Alexandria database).

Results
Space group ... Ia-3d
Raw total energy ... -5.3888 eV per atom

Cell: 14.6021 14.6021 14.6021 Å, 109.47 109.47 109.47°
Last column: nearest neighbours and their distance in Å.
Sites, in units of the cell vectors:
Cd (0.7500, 0.3750, 0.1250)  8 La 3.34-3.43
Cd (0.8750, 0.7500, 0.1250)  8 La 3.34-3.43
Cd (0.3750, 0.7500, 0.6250)  8 La 3.34-3.43
Cd (0.2500, 0.1250, 0.3750)  8 La 3.34-3.43
Cd (0.8750, 0.1250, 0.2500)  8 La 3.34-3.43
Cd (0.3750, 0.6250, 0.2500)  8 La 3.34-3.43
Cd (0.6250, 0.3750, 0.7500)  8 La 3.34-3.43
Cd (0.1250, 0.8750, 0.7500)  8 La 3.34-3.43
Cd (0.7500, 0.8750, 0.6250)  8 La 3.34-3.43
Cd (0.6250, 0.2500, 0.3750)  8 La 3.34-3.43
Cd (0.1250, 0.2500, 0.8750)  8 La 3.34-3.43
Cd (0.2500, 0.6250, 0.8750)  8 La 3.34-3.43
C (0.1250, 0.3750, 0.2500)  4 La 2.44
C (0.0000, 0.5000, 0.0000)  6 La 2.70
C (0.0000, 0.0000, 0.0000)  6 La 2.70
C (0.3750, 0.2500, 0.1250)  4 La 2.44
C (0.5000, 0.0000, 0.5000)  6 La 2.70
C (0.5000, 0.5000, 0.0000)  6 La 2.70
C (0.1250, 0.7500, 0.3750)  4 La 2.44
C (0.7500, 0.1250, 0.8750)  4 La 2.44
C (0.7500, 0.6250, 0.3750)  4 La 2.44
C (0.3750, 0.1250, 0.7500)  4 La 2.44
C (0.6250, 0.8750, 0.2500)  4 La 2.44
C (0.5000, 0.5000, 0.5000)  6 La 2.70
C (0.5000, 0.0000, 0.0000)  6 La 2.70
C (0.0000, 0.0000, 0.5000)  6 La 2.70
C (0.2500, 0.3750, 0.6250)  4 La 2.44
C (0.2500, 0.8750, 0.1250)  4 La 2.44
C (0.0000, 0.5000, 0.5000)  6 La 2.70
C (0.8750, 0.2500, 0.6250)  4 La 2.44
C (0.6250, 0.7500, 0.8750)  4 La 2.44
C (0.8750, 0.6250, 0.7500)  4 La 2.44
La (0.6985, 0.1111, 0.0145)  2 C 2.44-2.70
La (0.3160, 0.5145, 0.4034)  2 C 2.44-2.70
La (0.9855, 0.3889, 0.3015)  2 C 2.44-2.70
La (0.5145, 0.1985, 0.1111)  2 C 2.44-2.70
La (0.5874, 0.6985, 0.6840)  2 C 2.44-2.70
La (0.9855, 0.5966, 0.1840)  2 C 2.44-2.70
La (0.3160, 0.8015, 0.4126)  2 C 2.44-2.70
La (0.0966, 0.9126, 0.1111)  2 C 2.44-2.70
La (0.5966, 0.9855, 0.6840)  2 C 2.44-2.70
La (0.6985, 0.5874, 0.1840)  2 C 2.44-2.70
La (0.8015, 0.4855, 0.3889)  2 C 2.44-2.70
La (0.8160, 0.9034, 0.0145)  2 C 2.44-2.70
La (0.1111, 0.6985, 0.5145)  2 C 2.44-2.70
La (0.3889, 0.4034, 0.0874)  2 C 2.44-2.70
La (0.0874, 0.9034, 0.3889)  2 C 2.44-2.70
La (0.4126, 0.1111, 0.5966)  2 C 2.44-2.70
La (0.0874, 0.1840, 0.1985)  2 C 2.44-2.70
La (0.4855, 0.6840, 0.0966)  2 C 2.44-2.70
La (0.8160, 0.9126, 0.3015)  2 C 2.44-2.70
La (0.1111, 0.4126, 0.0966)  2 C 2.44-2.70
La (0.3889, 0.9855, 0.8015)  2 C 2.44-2.70
La (0.5966, 0.6111, 0.4126)  2 C 2.44-2.70
La (0.9034, 0.8160, 0.5145)  2 C 2.44-2.70
La (0.8015, 0.3160, 0.9126)  2 C 2.44-2.70
La (0.4034, 0.3889, 0.5874)  2 C 2.44-2.70
La (0.0966, 0.1840, 0.4855)  2 C 2.44-2.70
La (0.1985, 0.6840, 0.0874)  2 C 2.44-2.70
La (0.1840, 0.0874, 0.6985)  2 C 2.44-2.70
La (0.6111, 0.0145, 0.1985)  2 C 2.44-2.70
La (0.8889, 0.5874, 0.9034)  2 C 2.44-2.70
La (0.5145, 0.3160, 0.9034)  2 C 2.44-2.70
La (0.5874, 0.8889, 0.4034)  2 C 2.44-2.70
La (0.9126, 0.8160, 0.8015)  2 C 2.44-2.70
La (0.9126, 0.0966, 0.6111)  2 C 2.44-2.70
La (0.8889, 0.3015, 0.4855)  2 C 2.44-2.70
La (0.1840, 0.0966, 0.9855)  2 C 2.44-2.70
La (0.6111, 0.5966, 0.9126)  2 C 2.44-2.70
La (0.4034, 0.0145, 0.3160)  2 C 2.44-2.70
La (0.3015, 0.4126, 0.8160)  2 C 2.44-2.70
La (0.1985, 0.5145, 0.6111)  2 C 2.44-2.70
La (0.9034, 0.0874, 0.8889)  2 C 2.44-2.70
La (0.6840, 0.1985, 0.5874)  2 C 2.44-2.70
La (0.4855, 0.8015, 0.8889)  2 C 2.44-2.70
La (0.0145, 0.4034, 0.8160)  2 C 2.44-2.70
La (0.4126, 0.3015, 0.3160)  2 C 2.44-2.70
La (0.0145, 0.6111, 0.6985)  2 C 2.44-2.70
La (0.6840, 0.4855, 0.5966)  2 C 2.44-2.70
La (0.3015, 0.8889, 0.9855)  2 C 2.44-2.70


6.
# La4Cd2C

An optimized crystal structure of La4Cd2C (GGA-PBE, the Alexandria database).

Results
Space group ... I4/mmm
Raw total energy ... -4.5597 eV per atom

Cell: 5.2916 5.2916 8.6729 Å, 72.24 72.24 90.00°
Last column: nearest neighbours and their distance in Å.
Sites, in units of the cell vectors:
C (0.0000, 0.0000, 0.0000)  6 La 2.55-2.65
Cd (0.6305, 0.6305, 0.7390)  5 La 3.23-3.34
Cd (0.3695, 0.3695, 0.2610)  5 La 3.23-3.34
La (0.8370, 0.8370, 0.3260)  1 C 2.55
La (0.1630, 0.1630, 0.6740)  1 C 2.55
La (0.0000, 0.5000, 0.0000)  2 C 2.65
La (0.5000, 0.0000, 0.0000)  2 C 2.65